1.
Density functional theory data (PBE) for Sr4ZnP after structural relaxation.

The space group is F-43m (No. 216) and the conventional cell measures 9.8344, 9.8344 and 9.8344 Å, with angles of 90.00, 90.00 and 90.00 degrees. Symmetry generates all atoms from Sr at (0.1241, 0.1241, 0.3759), Zn at (0.0000, 0.0000, 0.0000) and P at (0.2500, 0.2500, 0.7500).

***

2.
Density functional theory data (PBE) for ScCrPb2 after structural relaxation.

The energy above the lowest structure with this stoichiometry comes out at 10 meV per atom.

The space group is P4/mmm (No. 123) and the conventional cell measures 4.7173, 4.7173 and 4.2051 Å, with angles of 90.00, 90.00 and 90.00 degrees. Symmetry generates all atoms from Sc at (0.0000, 0.0000, 0.0000), Cr at (0.5000, 0.5000, 0.0000) and Pb at (0.0000, 0.5000, 0.5000).

***

3.
Density functional theory data (PBE) for Sm2HoMg2 after structural relaxation.

The energy above the lowest structure with this stoichiometry comes out at 0 meV per atom.

The space group is Cmcm (No. 63) and the conventional cell measures 3.7951, 28.0684 and 5.4546 Å, with angles of 90.00, 90.00 and 90.00 degrees. Symmetry generates all atoms from Sm at (0.0000, 0.0447, 0.2500), Sm at (0.0000, 0.2371, 0.2500), Ho at (0.0000, 0.1504, 0.7500), Mg at (0.0000, 0.3598, 0.7500) and Mg at (0.0000, 0.4454, 0.2500).

***

4.
Density functional theory data (PBE) for HoThBiTe after structural relaxation.

The energy above the lowest structure with this stoichiometry comes out at 81 meV per atom. Its formation energy (no corrections) is -0.823 eV per atom.

The space group is F-43m (No. 216) and the conventional cell measures 7.7167, 7.7167 and 7.7167 Å, with angles of 90.00, 90.00 and 90.00 degrees. Symmetry generates all atoms from Ho at (0.0000, 0.0000, 0.0000), Th at (0.0000, 0.0000, 0.5000), Bi at (0.2500, 0.2500, 0.2500) and Te at (0.2500, 0.2500, 0.7500).

***

5.
Density functional theory data (PBE) for Na2TlO after structural relaxation.

The energy above the lowest structure with this stoichiometry comes out at 0 meV per atom. Its formation energy (no corrections) is -0.773 eV per atom.

The space group is R3m (No. 160, hexagonal axes) and the conventional cell measures 3.8157, 3.8157 and 19.5404 Å, with angles of 90.00, 90.00 and 120.00 degrees. Symmetry generates all atoms from Na at (0.0000, 0.0000, 0.0000), Na at (0.0000, 0.0000, 0.2457), Tl at (0.0000, 0.0000, 0.4713) and O at (0.0000, 0.0000, 0.6072).

***

6.
Density functional theory data (PBE) for Cs6SrF8 after structural relaxation.

Its formation energy (no corrections) is -2.861 eV per atom.

The space group is R-3 (No. 148, hexagonal axes) and the conventional cell measures 8.7174, 8.7174 and 17.9409 Å, with angles of 90.00, 90.00 and 120.00 degrees. Symmetry generates all atoms from Cs at (0.0229, 0.4103, 0.4129), Sr at (0.0000, 0.0000, 0.5000), F at (0.0000, 0.0000, 0.1644) and F at (0.0105, 0.2358, 0.5787).

***

7.
Density functional theory data (PBE) for Ho4ErTl after structural relaxation.

The energy above the lowest structure with this stoichiometry comes out at 92 meV per atom.

The space group is C2/c (No. 15) and the conventional cell measures 8.6113, 13.9968 and 6.4056 Å, with angles of 90.00, 108.63 and 90.00 degrees. Symmetry generates all atoms from Ho at (0.0960, 0.1907, 0.0398), Ho at (0.2132, 0.3740, 0.3810), Er at (0.0000, 0.4103, 0.7500) and Tl at (0.0000, 0.0000, 0.2500).

***

8.
Density functional theory data (PBE) for CsNa2Zn2 after structural relaxation.

The energy above the lowest structure with this stoichiometry comes out at 0 meV per atom.

The space group is I4/mmm (No. 139) and the conventional cell measures 5.1938, 5.1938 and 13.2875 Å, with angles of 90.00, 90.00 and 90.00 degrees. Symmetry generates all atoms from Cs at (0.0000, 0.0000, 0.0000), Na at (0.0000, 0.5000, 0.2500) and Zn at (0.0000, 0.0000, 0.3999).

***

9.
Density functional theory data (PBE) for Rb2Hf4Au after structural relaxation.

The space group is I4/mmm (No. 139) and the conventional cell measures 5.2525, 5.2525 and 20.6359 Å, with angles of 90.00, 90.00 and 90.00 degrees. Symmetry generates all atoms from Rb at (0.0000, 0.0000, 0.1702), Hf at (0.0000, 0.0000, 0.3784), Hf at (0.0000, 0.5000, 0.0000) and Au at (0.0000, 0.0000, 0.5000).

***

10.
Density functional theory data (PBE) for Ho3TlAg2 after structural relaxation.

The space group is P4/mmm (No. 123) and the conventional cell measures 3.6051, 3.6051 and 11.4569 Å, with angles of 90.00, 90.00 and 90.00 degrees. Symmetry generates all atoms from Ho at (0.0000, 0.0000, 0.0000), Ho at (0.0000, 0.0000, 0.3191), Tl at (0.5000, 0.5000, 0.5000) and Ag at (0.5000, 0.5000, 0.1603).

***

11.
Density functional theory data (PBE) for SrRhPb2 after structural relaxation.

The space group is Pnma (No. 62) and the conventional cell measures 16.8268, 8.1834 and 6.1824 Å, with angles of 90.00, 90.00 and 90.00 degrees. Symmetry generates all atoms from Sr at (0.1065, 0.2500, 0.2337), Sr at (0.1412, 0.7500, 0.0192), Rh at (0.0743, 0.7500, 0.5025), Rh at (0.1759, 0.2500, 0.7432), Pb at (0.0373, 0.0492, 0.7361) and Pb at (0.2137, 0.5502, 0.5110).

***

12.
Density functional theory data (PBE) for Na2BeSn2 after structural relaxation.

The space group is P4/mbm (No. 127) and the conventional cell measures 6.8123, 6.8123 and 5.2732 Å, with angles of 90.00, 90.00 and 90.00 degrees. Symmetry generates all atoms from Na at (0.1667, 0.3333, 0.0000), Be at (0.0000, 0.0000, 0.5000) and Sn at (0.1524, 0.6524, 0.5000).

***

13.
Density functional theory data (PBE) for NaSbTe2 after structural relaxation.

Its formation energy (no corrections) is -0.284 eV per atom.

The space group is I-42d (No. 122) and the conventional cell measures 6.9800, 6.9800 and 14.4671 Å, with angles of 90.00, 90.00 and 90.00 degrees. Symmetry generates all atoms from Na at (0.0000, 0.0000, 0.0000), Sb at (0.0000, 0.0000, 0.5000) and Te at (0.2283, 0.2500, 0.6250).

***

14.
Density functional theory data (PBE) for Tl3GaTc after structural relaxation.

The energy above the lowest structure with this stoichiometry comes out at 606 meV per atom.

The space group is Pm-3m (No. 221) and the conventional cell measures 5.3739, 5.3739 and 5.3739 Å, with angles of 90.00, 90.00 and 90.00 degrees. Symmetry generates all atoms from Tl at (0.0000, 0.0000, 0.5000), Ga at (0.0000, 0.0000, 0.0000) and Tc at (0.5000, 0.5000, 0.5000).

***

15.
Density functional theory data (PBE) for La5Re2I2 after structural relaxation.

Its formation energy (no corrections) is -0.364 eV per atom.

The space group is Cmce (No. 64) and the conventional cell measures 17.1165, 8.2130 and 8.1737 Å, with angles of 90.00, 90.00 and 90.00 degrees. Symmetry generates all atoms from La at (0.0000, 0.0000, 0.0000), La at (0.1116, 0.1747, 0.3261), Re at (0.0000, 0.1106, 0.6079) and I at (0.2093, 0.0000, 0.0000).

***

16.
Density functional theory data (PBE) for Tb3AlGa5 after structural relaxation.

The space group is I4/mcm (No. 140) and the conventional cell measures 8.3984, 8.3984 and 11.4522 Å, with angles of 90.00, 90.00 and 90.00 degrees. Symmetry generates all atoms from Tb at (0.0000, 0.0000, 0.2500), Tb at (0.1342, 0.3658, 0.0000), Al at (0.0000, 0.5000, 0.2500), Ga at (0.0000, 0.0000, 0.0000) and Ga at (0.1840, 0.3160, 0.3439).

***

17.
Density functional theory data (PBE) for Cs3BeNi after structural relaxation.

The space group is Pm-3m (No. 221) and the conventional cell measures 6.7619, 6.7619 and 6.7619 Å, with angles of 90.00, 90.00 and 90.00 degrees. Symmetry generates all atoms from Cs at (0.0000, 0.0000, 0.5000), Be at (0.0000, 0.0000, 0.0000) and Ni at (0.5000, 0.5000, 0.5000).

***

18.
Density functional theory data (PBE) for LiCdI2 after structural relaxation.

The energy above the lowest structure with this stoichiometry comes out at 71 meV per atom. Its formation energy (no corrections) is -0.526 eV per atom.

The space group is R-3m (No. 166, hexagonal axes) and the conventional cell measures 4.3092, 4.3092 and 27.4224 Å, with angles of 90.00, 90.00 and 120.00 degrees. Symmetry generates all atoms from Li at (0.0000, 0.0000, 0.0000), Cd at (0.0000, 0.0000, 0.5000) and I at (0.0000, 0.0000, 0.3922).

***

19.
Density functional theory data (PBE) for Tm2AgPt after structural relaxation.

The energy above the lowest structure with this stoichiometry comes out at 3 meV per atom.

The space group is Fm-3m (No. 225) and the conventional cell measures 7.0065, 7.0065 and 7.0065 Å, with angles of 90.00, 90.00 and 90.00 degrees. Symmetry generates all atoms from Tm at (0.2500, 0.2500, 0.2500), Ag at (0.0000, 0.0000, 0.0000) and Pt at (0.0000, 0.0000, 0.5000).

***

20.
Density functional theory data (PBE) for CaScAl after structural relaxation.

The energy above the lowest structure with this stoichiometry comes out at 65 meV per atom.

The space group is P2/m (No. 10) and the conventional cell measures 4.8739, 4.5295 and 7.3715 Å, with angles of 90.00, 109.24 and 90.00 degrees. Symmetry generates all atoms from Ca at (0.1732, 0.0000, 0.3463), Sc at (0.0000, 0.5000, 0.0000), Sc at (0.5000, 0.0000, 0.0000) and Al at (0.3667, 0.5000, 0.7325).

***

| no. | total moment (Bohr magnetons per cell) | total DFT energy (no corrections) (eV per atom) |
| --- | --- | --- |
| 1 | 0.0 | -1.659 |
| 2 | 4.4 | -5.731 |
| 3 | 0.0 | -3.507 |
| 4 | 0.0 | -5.578 |
| 5 | 0.0 | -3.263 |
| 6 | 0.8 | -4.312 |
| 7 | 0.0 | -4.218 |
| 8 | 0.0 | -1.092 |
| 9 | 3.7 | -5.071 |
| 10 | 0.0 | -3.963 |
| 11 | 0.0 | -4.486 |
| 12 | 0.0 | -2.807 |
| 13 | 0.0 | -3.215 |
| 14 | 3.9 | -2.979 |
| 15 | 0.0 | -6.213 |
| 16 | 0.0 | -3.991 |
| 17 | 0.9 | -1.328 |
| 18 | 0.0 | -2.008 |
| 19 | 0.0 | -5.287 |
| 20 | 0.0 | -4.142 |